# 1
Here is a geometry-optimized La3CdIr structure from the Alexandria database. Energies are from PBE-GGA.

Computed properties:
- E above lowest polymorph: 0.0000 eV/atom
- Formation energy: -0.4888 eV/atom
- E: -54.004 eV per cell

Unit cell a=5.974 b=6.930 c=8.768 alpha=100.02 beta=103.48 gamma=114.26
Atoms (fractional coordinates):
La (0.063, 0.187, 0.320)
La (0.288, 0.830, 0.108)
La (0.341, 0.460, 0.765)
La (0.659, 0.540, 0.235)
La (0.712, 0.170, 0.892)
La (0.937, 0.813, 0.680)
Cd (0.339, 0.758, 0.481)
Cd (0.661, 0.242, 0.519)
Ir (0.240, 0.172, 0.975)
Ir (0.760, 0.828, 0.025)

---

# 2
Here is a geometry-optimized RbHg2H structure from the Alexandria database. Energies are from PBE-GGA.

Computed properties:
- E above lowest polymorph: 0.2082 eV/atom
- E: -16.648 eV per cell

Unit cell a=8.010 b=8.010 c=8.010 alpha=90.00 beta=90.00 gamma=90.00
Atoms (fractional coordinates):
Rb (0.000, 0.000, 0.000)
Rb (0.000, 0.500, 0.500)
Rb (0.500, 0.000, 0.500)
Rb (0.500, 0.500, 0.000)
Hg (0.250, 0.250, 0.250)
Hg (0.250, 0.250, 0.750)
Hg (0.250, 0.750, 0.250)
Hg (0.250, 0.750, 0.750)
Hg (0.750, 0.250, 0.250)
Hg (0.750, 0.250, 0.750)
Hg (0.750, 0.750, 0.250)
Hg (0.750, 0.750, 0.750)
H (0.000, 0.000, 0.500)
H (0.000, 0.500, 0.000)
H (0.500, 0.000, 0.000)
H (0.500, 0.500, 0.500)

---

# 3
Here is a geometry-optimized Re2TcBr structure from the Alexandria database. Energies are from PBE-GGA.

Computed properties:
- Energy relative to the elements, uncorrected: 1.55 eV per atom
- E above lowest polymorph: 0.9835 eV/atom
- E: -122.946 eV per cell

Unit cell a=5.745 b=5.745 c=10.736 alpha=90.00 beta=90.00 gamma=90.00
Atoms (fractional coordinates):
Re (0.240, 0.250, 0.125)
Re (0.250, 0.740, 0.375)
Re (0.250, 0.760, 0.875)
Re (0.260, 0.250, 0.625)
Re (0.740, 0.750, 0.625)
Re (0.750, 0.240, 0.875)
Re (0.750, 0.260, 0.375)
Re (0.760, 0.750, 0.125)
Tc (0.000, 0.000, 0.000)
Tc (0.000, 0.500, 0.250)
Tc (0.500, 0.000, 0.750)
Tc (0.500, 0.500, 0.500)
Br (0.000, 0.000, 0.500)
Br (0.000, 0.500, 0.750)
Br (0.500, 0.000, 0.250)
Br (0.500, 0.500, 0.000)